First-principles (GGA-PBE) data for an optimized crystal structure of CeDyHg6, as listed in Alexandria.

Lattice parameters (Å, degrees): 4.6163 4.6163 9.5748 90.00 90.00 90.00
Closest atoms and distances in Å follow each position.
Positions (direct):
Ce: 0.0000 0.0000 0.0000  12 Hg 3.26-3.36
Dy: 0.0000 0.0000 0.5000  12 Hg 3.26-3.29
Hg: 0.0000 0.5000 0.2552  8 Hg 3.26-3.36, 2 Dy 3.29, 2 Ce 3.36
Hg: 0.0000 0.5000 0.7448  8 Hg 3.26-3.36, 2 Dy 3.29, 2 Ce 3.36
Hg: 0.5000 0.0000 0.2552  8 Hg 3.26-3.36, 2 Dy 3.29, 2 Ce 3.36
Hg: 0.5000 0.0000 0.7448  8 Hg 3.26-3.36, 2 Dy 3.29, 2 Ce 3.36
Hg: 0.5000 0.5000 0.0000  4 Ce 3.26, 8 Hg 3.36
Hg: 0.5000 0.5000 0.5000  4 Dy 3.26, 8 Hg 3.29

Results
- density of states at the Fermi level (states/eV/f.u.) = 13.72
- energy relative to the elements (eV per atom) = -0.273